Here is crystalline LiPm5Nd4 at its relaxed geometry from Alexandria. Energies are from GGA-PBE.

Calculated values
The value obtained for the energy of formation from the pure elements is 0.133 eV/atom. The total energy is -4.34 eV/atom. As for the spin magnetization: 0.0 μB/cell.

Cell and atoms, written as CIF:
```
data_LiPm5Nd4
_space_group_name_H-M_alt 'P 1'
_space_group_IT_number 1
_space_group_name_Hall 'P 1'
_cell_length_a 4.236
_cell_length_b 4.236
_cell_length_c 18.741
_cell_angle_alpha 90.00
_cell_angle_beta 90.00
_cell_angle_gamma 90.00
loop_
_atom_site_label
_atom_site_type_symbol
_atom_site_fract_x
_atom_site_fract_y
_atom_site_fract_z
Li1 Li 0.000 0.000 0.000
Pm1 Pm 0.500 0.500 0.094
Pm2 Pm 0.500 0.500 0.297
Pm3 Pm 0.500 0.500 0.500
Pm4 Pm 0.500 0.500 0.703
Pm5 Pm 0.500 0.500 0.906
Nd1 Nd 0.000 0.000 0.202
Nd2 Nd 0.000 0.000 0.398
Nd3 Nd 0.000 0.000 0.602
Nd4 Nd 0.000 0.000 0.798
```